No. 1
A plane-wave DFT calculation with SCAN was carried out for BaInAs at its PBEsol-relaxed geometry.

Computed properties:
The calculation puts the formation enthalpy at 0 K at -2.49 eV per formula unit. Its space group is P3m1.

Lattice parameters (Å, degrees): 4.4620 4.4620 5.5472 90.00 90.00 120.00
With the nearest neighbours (Å) after each atom.
Fractional positions:
Ba (0.0000, 0.0000, 0.0000)  3 As 3.23, 3 In 3.54
In (0.3333, 0.6667, 0.5628)  3 As 2.83
As (0.6667, 0.3333, 0.3511)  3 In 2.83

=====

No. 2
A plane-wave DFT calculation with SCAN was carried out for CdHgOs2Cl at its PBEsol-relaxed geometry.

Computed properties:
The value obtained for the uncorrected formation energy is 11.47 eV/f.u. Its space group is P4/mmm.

Lattice parameters (Å, degrees): 5.0454 5.0454 4.9602 90.00 90.00 90.00
With the nearest neighbours (Å) after each atom.
Fractional positions:
Cd (0.0000, 0.0000, 0.0000)  8 Os 3.54, 4 Cl 3.57
Hg (0.5000, 0.5000, 0.5000)  2 Cl 2.48, 4 Os 2.52
Os (0.0000, 0.5000, 0.5000)  2 Hg 2.52
Os (0.5000, 0.0000, 0.5000)  2 Hg 2.52
Cl (0.5000, 0.5000, 0.0000)  2 Hg 2.48

=====

No. 3
A plane-wave DFT calculation with SCAN was carried out for InHgTe2 at its PBEsol-relaxed geometry.

Computed properties:
The value obtained for the uncorrected formation energy is -0.03 eV/f.u. Its space group is P4/mmm.

Lattice parameters (Å, degrees): 4.3549 4.3549 5.9846 90.00 90.00 90.00
With the nearest neighbours (Å) after each atom.
Fractional positions:
In (0.0000, 0.0000, 0.0000)  4 Hg 3.08
Hg (0.5000, 0.5000, 0.0000)  4 In 3.08
Te (0.0000, 0.5000, 0.5000)  4 Te 3.08
Te (0.5000, 0.0000, 0.5000)  4 Te 3.08

=====

No. 4
A plane-wave DFT calculation with SCAN was carried out for RbTaNb2Br at its PBEsol-relaxed geometry.

Computed properties:
The value obtained for the uncorrected formation energy is 16.23 eV/f.u. Its space group is P4/mmm.

Lattice parameters (Å, degrees): 4.8202 4.8202 4.8820 90.00 90.00 90.00
With the nearest neighbours (Å) after each atom.
Fractional positions:
Rb (0.0000, 0.0000, 0.0000)  4 Nb 2.41, 2 Ta 2.44
Ta (0.0000, 0.0000, 0.5000)  2 Rb 2.44
Nb (0.0000, 0.5000, 0.0000)  2 Rb 2.41
Nb (0.5000, 0.0000, 0.0000)  2 Rb 2.41
Br (0.5000, 0.5000, 0.5000)  4 Ta 3.41, 8 Nb 3.43

=====

No. 5
A plane-wave DFT calculation with SCAN was carried out for Nd2GaAg at its PBEsol-relaxed geometry.

Computed properties:
The calculation puts the formation enthalpy at 0 K at -1.94 eV per formula unit. Its space group is Fm-3m.

Lattice parameters (Å, degrees): 5.1852 5.1852 5.1852 60.00 60.00 60.00
With the nearest neighbours (Å) after each atom.
Fractional positions:
Nd (0.2500, 0.2500, 0.2500)  4 Ag 3.18, 4 Ga 3.18
Nd (0.7500, 0.7500, 0.7500)  4 Ag 3.18, 4 Ga 3.18
Ga (0.0000, 0.0000, 0.0000)  8 Nd 3.18
Ag (0.5000, 0.5000, 0.5000)  8 Nd 3.18

=====

No. 6
A plane-wave DFT calculation with SCAN was carried out for RhBr7 at its PBEsol-relaxed geometry.

Computed properties:
The value obtained for the uncorrected formation energy is 6.80 eV/f.u. Its space group is Fm-3m.

Lattice parameters (Å, degrees): 6.3376 6.3376 6.3376 60.00 60.00 60.00
With the nearest neighbours (Å) after each atom.
Fractional positions:
Rh (0.0000, 0.0000, 0.0000)  12 Br 3.17
Br (0.0000, 0.0000, 0.5000)  10 Br 3.17, 2 Rh 3.17
Br (0.0000, 0.5000, 0.0000)  10 Br 3.17, 2 Rh 3.17
Br (0.0000, 0.5000, 0.5000)  10 Br 3.17, 2 Rh 3.17
Br (0.5000, 0.0000, 0.0000)  10 Br 3.17, 2 Rh 3.17
Br (0.5000, 0.0000, 0.5000)  10 Br 3.17, 2 Rh 3.17
Br (0.5000, 0.5000, 0.0000)  10 Br 3.17, 2 Rh 3.17
Br (0.5000, 0.5000, 0.5000)  12 Br 3.17

=====

Repeat the fifth record exactly.
A plane-wave DFT calculation with SCAN was carried out for Nd2GaAg at its PBEsol-relaxed geometry.

Computed properties:
The calculation puts the formation enthalpy at 0 K at -1.94 eV per formula unit. Its space group is Fm-3m.

Lattice parameters (Å, degrees): 5.1852 5.1852 5.1852 60.00 60.00 60.00
With the nearest neighbours (Å) after each atom.
Fractional positions:
Nd (0.2500, 0.2500, 0.2500)  4 Ag 3.18, 4 Ga 3.18
Nd (0.7500, 0.7500, 0.7500)  4 Ag 3.18, 4 Ga 3.18
Ga (0.0000, 0.0000, 0.0000)  8 Nd 3.18
Ag (0.5000, 0.5000, 0.5000)  8 Nd 3.18

=====

Repeat the third record exactly.
A plane-wave DFT calculation with SCAN was carried out for InHgTe2 at its PBEsol-relaxed geometry.

Computed properties:
The value obtained for the uncorrected formation energy is -0.03 eV/f.u. Its space group is P4/mmm.

Lattice parameters (Å, degrees): 4.3549 4.3549 5.9846 90.00 90.00 90.00
With the nearest neighbours (Å) after each atom.
Fractional positions:
In (0.0000, 0.0000, 0.0000)  4 Hg 3.08
Hg (0.5000, 0.5000, 0.0000)  4 In 3.08
Te (0.0000, 0.5000, 0.5000)  4 Te 3.08
Te (0.5000, 0.0000, 0.5000)  4 Te 3.08

=====

Which formula does entry 4 have? RbTaNb2Br